LaGdCu2Si4 | GGA-PBE | relaxed

Cell and atoms, written as POSCAR:
```
LaGdCu2Si4
1.0
4.0467 0.0000 0.0000
0.0000 2.0809 8.4741
0.0000 -2.0809 8.4741
La Gd Cu Si
1 1 2 4
direct
0.0000 0.0000 0.0000
0.5000 0.7931 0.7931
0.0000 0.2223 0.2223
0.5000 0.5719 0.5719
0.0000 0.3581 0.3581
0.0000 0.6500 0.6500
0.5000 0.1472 0.1472
0.5000 0.4312 0.4312
```

Symmetry: Amm2, No. 38
Volume: 143 Å³ per cell
Uncorrected energy: -5.4395 eV per atom